A) # SmErRh

A geometry-optimized SmErRh structure (GGA-PBE, Alexandria via LeMat-Bulk).

Computed properties:
- Crystal system: monoclinic

a b c (Å): 3.615 13.461 6.598
angles (deg): 90.00 107.40 90.00
Sites, in units of the cell vectors:
Sm (0.138, 0.047, 0.257)
Sm (0.138, 0.453, 0.757)
Sm (0.862, 0.547, 0.243)
Sm (0.862, 0.953, 0.743)
Er (0.231, 0.714, 0.848)
Er (0.231, 0.786, 0.348)
Er (0.769, 0.214, 0.652)
Er (0.769, 0.286, 0.152)
Rh (0.436, 0.112, 0.913)
Rh (0.436, 0.388, 0.413)
Rh (0.564, 0.612, 0.587)
Rh (0.564, 0.888, 0.087)

***

B) # SmErRh

A geometry-optimized SmErRh structure (GGA-PBE, Alexandria via LeMat-Bulk).

Computed properties:
- Crystal system: trigonal

a b c (Å): 4.032 4.032 6.219
angles (deg): 90.00 90.00 120.00
Sites, in units of the cell vectors:
Sm (0.000, 0.000, 0.000)
Er (0.333, 0.667, 0.521)
Rh (0.667, 0.333, 0.750)

***

Relative energies, unit kJ/mol of atoms: A) 0.0; B) 5.8

***

A) # Sm2Er2Rh3

A geometry-optimized Sm2Er2Rh3 structure (GGA-PBE, Alexandria via LeMat-Bulk).

Computed properties:
- Crystal system: triclinic

a b c (Å): 4.384 5.933 7.441
angles (deg): 80.56 89.94 68.32
Sites, in units of the cell vectors:
Sm (0.132, 0.235, 0.355)
Sm (0.868, 0.765, 0.645)
Er (0.362, 0.776, 0.071)
Er (0.638, 0.224, 0.929)
Rh (0.000, 0.500, 0.000)
Rh (0.194, 0.113, 0.734)
Rh (0.806, 0.887, 0.266)

***

B) # Sm2Er2Rh3

A geometry-optimized Sm2Er2Rh3 structure (GGA-PBE, Alexandria via LeMat-Bulk).

Computed properties:
- Crystal system: monoclinic

a b c (Å): 4.796 4.796 8.568
angles (deg): 106.19 106.19 59.94
Sites, in units of the cell vectors:
Sm (0.124, 0.124, 0.371)
Sm (0.876, 0.876, 0.629)
Er (0.374, 0.374, 0.122)
Er (0.626, 0.626, 0.878)
Rh (0.000, 0.000, 0.000)
Rh (0.253, 0.253, 0.760)
Rh (0.747, 0.747, 0.240)

***

Relative energies, unit kJ/mol of atoms: A) 10.5; B) 0.0

***

A) # SmEr3Rh2

A geometry-optimized SmEr3Rh2 structure (GGA-PBE, Alexandria via LeMat-Bulk).

Computed properties:
- Crystal system: monoclinic

a b c (Å): 8.295 8.295 10.626
angles (deg): 114.80 114.80 29.68
Sites, in units of the cell vectors:
Sm (0.055, 0.055, 0.211)
Sm (0.945, 0.945, 0.789)
Er (0.212, 0.212, 0.594)
Er (0.331, 0.331, 0.972)
Er (0.426, 0.426, 0.333)
Er (0.574, 0.574, 0.667)
Er (0.669, 0.669, 0.028)
Er (0.788, 0.788, 0.406)
Rh (0.138, 0.138, 0.845)
Rh (0.382, 0.382, 0.580)
Rh (0.618, 0.618, 0.420)
Rh (0.862, 0.862, 0.155)

***

B) # SmEr3Rh2

A geometry-optimized SmEr3Rh2 structure (GGA-PBE, Alexandria via LeMat-Bulk).

Computed properties:
- Crystal system: orthorhombic

a b c (Å): 4.669 8.681 7.172
angles (deg): 90.00 90.00 90.00
Sites, in units of the cell vectors:
Sm (0.000, 0.084, 0.000)
Sm (0.000, 0.916, 0.500)
Er (0.000, 0.334, 0.629)
Er (0.000, 0.666, 0.129)
Er (0.500, 0.173, 0.347)
Er (0.500, 0.417, 0.974)
Er (0.500, 0.583, 0.474)
Er (0.500, 0.827, 0.847)
Rh (0.000, 0.343, 0.234)
Rh (0.000, 0.657, 0.734)
Rh (0.500, 0.164, 0.741)
Rh (0.500, 0.836, 0.241)

***

Relative energies, unit kJ/mol of atoms: A) 6.7; B) 0.0

***

A) # SmEr5Rh4

A geometry-optimized SmEr5Rh4 structure (GGA-PBE, Alexandria via LeMat-Bulk).

Computed properties:
- Crystal system: monoclinic

a b c (Å): 7.623 7.623 6.770
angles (deg): 90.63 90.63 36.68
Sites, in units of the cell vectors:
Sm (0.000, 0.000, 0.000)
Er (0.000, 0.000, 0.500)
Er (0.332, 0.332, 0.003)
Er (0.333, 0.333, 0.502)
Er (0.667, 0.667, 0.498)
Er (0.668, 0.668, 0.997)
Rh (0.168, 0.168, 0.749)
Rh (0.498, 0.498, 0.744)
Rh (0.502, 0.502, 0.256)
Rh (0.832, 0.832, 0.251)

***

B) # SmEr5Rh4

A geometry-optimized SmEr5Rh4 structure (GGA-PBE, Alexandria via LeMat-Bulk).

Computed properties:
- Crystal system: tetragonal

a b c (Å): 3.406 3.406 19.101
angles (deg): 90.00 90.00 90.00
Sites, in units of the cell vectors:
Sm (0.000, 0.000, 0.000)
Er (0.500, 0.500, 0.147)
Er (0.500, 0.500, 0.322)
Er (0.500, 0.500, 0.500)
Er (0.500, 0.500, 0.678)
Er (0.500, 0.500, 0.853)
Rh (0.000, 0.000, 0.231)
Rh (0.000, 0.000, 0.411)
Rh (0.000, 0.000, 0.589)
Rh (0.000, 0.000, 0.769)

***

Relative energies, unit kJ/mol of atoms: A) 2.6; B) 0.0

***

A) # SrErRh2

A geometry-optimized SrErRh2 structure (GGA-PBE, Alexandria via LeMat-Bulk).

Computed properties:
- Crystal system: cubic

a b c (Å): 4.931 4.931 4.931
angles (deg): 60.00 60.00 60.00
Sites, in units of the cell vectors:
Sr (0.000, 0.000, 0.000)
Er (0.500, 0.500, 0.500)
Rh (0.250, 0.250, 0.250)
Rh (0.750, 0.750, 0.750)

***

B) # SrErRh2

A geometry-optimized SrErRh2 structure (GGA-PBE, Alexandria via LeMat-Bulk).

Computed properties:
- Crystal system: tetragonal

a b c (Å): 3.453 3.453 7.230
angles (deg): 90.00 90.00 90.00
Sites, in units of the cell vectors:
Sr (0.000, 0.000, 0.000)
Er (0.000, 0.000, 0.500)
Rh (0.500, 0.500, 0.286)
Rh (0.500, 0.500, 0.714)

***

Relative energies, unit kJ/mol of atoms: A) 10.6; B) 0.0

***

A) # SrEr2Rh

A geometry-optimized SrEr2Rh structure (GGA-PBE, Alexandria via LeMat-Bulk).

Computed properties:
- Crystal system: tetragonal

a b c (Å): 3.518 3.518 9.582
angles (deg): 90.00 90.00 90.00
Sites, in units of the cell vectors:
Sr (0.000, 0.000, 0.000)
Er (0.500, 0.500, 0.335)
Er (0.500, 0.500, 0.665)
Rh (0.000, 0.000, 0.500)

***

B) # SrEr2Rh

A geometry-optimized SrEr2Rh structure (GGA-PBE, Alexandria via LeMat-Bulk).

Computed properties:
- Crystal system: trigonal

a b c (Å): 10.926 10.926 10.926
angles (deg): 20.88 20.88 20.88
Sites, in units of the cell vectors:
Sr (0.000, 0.000, 0.000)
Er (0.121, 0.121, 0.121)
Er (0.879, 0.879, 0.879)
Rh (0.500, 0.500, 0.500)

***

Relative energies, unit kJ/mol of atoms: A) 0.0; B) 9.2

***

A) # TbErRh

A geometry-optimized TbErRh structure (GGA-PBE, Alexandria via LeMat-Bulk).

Computed properties:
- Crystal system: orthorhombic

a b c (Å): 8.689 8.689 8.689
angles (deg): 115.74 85.69 129.86
Sites, in units of the cell vectors:
Tb (0.000, 0.250, 0.250)
Tb (0.000, 0.750, 0.750)
Tb (0.185, 0.139, 0.546)
Tb (0.185, 0.639, 0.046)
Tb (0.593, 0.139, 0.954)
Tb (0.593, 0.639, 0.454)
Er (0.330, 0.330, 0.000)
Er (0.330, 0.830, 0.500)
Er (0.592, 0.223, 0.369)
Er (0.592, 0.724, 0.869)
Er (0.855, 0.224, 0.631)
Er (0.855, 0.723, 0.131)
Rh (0.259, 0.092, 0.166)
Rh (0.259, 0.593, 0.667)
Rh (0.592, 0.343, 0.750)
Rh (0.593, 0.843, 0.250)
Rh (0.926, 0.093, 0.834)
Rh (0.926, 0.592, 0.333)

***

B) # TbErRh

A geometry-optimized TbErRh structure (GGA-PBE, Alexandria via LeMat-Bulk).

Computed properties:
- Crystal system: trigonal

a b c (Å): 4.566 4.566 4.022
angles (deg): 90.00 90.00 120.00
Sites, in units of the cell vectors:
Tb (0.000, 0.000, 0.000)
Er (0.667, 0.333, 0.531)
Rh (0.333, 0.667, 0.280)

***

Relative energies, unit kJ/mol of atoms: A) 0.0; B) 20.5

***

A) # TbErRh

A geometry-optimized TbErRh structure (GGA-PBE, Alexandria via LeMat-Bulk).

Computed properties:
- Crystal system: cubic

a b c (Å): 4.796 4.796 4.796
angles (deg): 60.00 60.00 60.00
Sites, in units of the cell vectors:
Tb (0.000, 0.000, 0.000)
Er (0.500, 0.500, 0.500)
Rh (0.750, 0.750, 0.750)

***

B) # TbErRh

A geometry-optimized TbErRh structure (GGA-PBE, Alexandria via LeMat-Bulk).

Computed properties:
- Crystal system: orthorhombic

a b c (Å): 6.209 6.209 6.580
angles (deg): 90.00 90.00 144.17
Sites, in units of the cell vectors:
Tb (0.216, 0.784, 0.750)
Tb (0.784, 0.216, 0.250)
Er (0.500, 0.500, 0.000)
Er (0.500, 0.500, 0.500)
Rh (0.116, 0.884, 0.250)
Rh (0.884, 0.116, 0.750)

***

Relative energies, unit kJ/mol of atoms: A) 4.2; B) 0.0